The following is a DFT calculation (GGA-PBE) of a geometry-optimized Tm6Al43Mo4 structure.

```
106
Lattice="10.971 0.000 0.000 -5.486 9.502 0.000 0.000 0.000 17.656" Properties=species:S:1:pos:R:3 pbc="T T T"
Tm -2.569 4.450 1.683
Tm -2.569 4.450 7.145
Tm -2.917 5.052 10.510
Tm -2.917 5.052 15.973
Tm 5.138 0.000 1.683
Tm 5.138 0.000 7.145
Tm 2.569 4.450 10.510
Tm 2.569 4.450 15.973
Tm 5.834 0.000 10.510
Tm 5.834 0.000 15.973
Tm 2.917 5.052 1.683
Tm 2.917 5.052 7.145
Al -0.808 1.400 13.242
Al -0.876 1.517 2.023
Al -0.876 1.517 6.805
Al -1.399 2.423 9.362
Al -1.399 2.423 17.121
Al -4.087 7.079 0.534
Al -4.087 7.079 8.294
Al -4.610 7.985 10.850
Al -4.610 7.985 15.633
Al -4.678 8.102 4.414
Al 1.616 0.000 13.242
Al 0.808 1.400 4.414
Al -1.408 5.246 4.414
Al -1.647 5.659 13.242
Al -0.435 3.746 11.712
Al -0.435 3.746 14.771
Al -2.460 7.252 2.884
Al -2.460 7.252 5.943
Al 1.751 0.000 2.023
Al 1.751 0.000 6.805
Al 0.876 1.517 10.850
Al 0.876 1.517 15.633
Al 0.435 3.746 2.884
Al 0.435 3.746 5.943
Al -2.024 8.006 11.712
Al -2.024 8.006 14.771
Al 0.000 4.694 0.000
Al 0.000 4.694 8.828
Al -1.420 7.155 0.000
Al -1.420 7.155 8.828
Al 2.798 0.000 9.362
Al 2.798 0.000 17.121
Al 1.399 2.423 0.534
Al 1.399 2.423 8.294
Al 0.000 6.334 2.212
Al 0.000 6.334 6.615
Al 0.000 6.334 11.040
Al 0.000 6.334 15.443
Al 3.461 1.496 11.712
Al 3.461 1.496 14.771
Al 3.026 2.250 2.884
Al 3.026 2.250 5.943
Al 1.408 5.246 13.242
Al -0.239 8.098 4.414
Al 1.647 5.659 4.414
Al 0.239 8.098 13.242
Al 4.065 2.347 0.000
Al 4.065 2.347 8.828
Al 1.420 7.155 0.000
Al 1.420 7.155 8.828
Al 5.247 1.403 4.414
Al 3.839 3.843 13.242
Al 5.724 1.403 13.242
Al 4.077 4.256 4.414
Al 2.460 7.252 11.712
Al 2.460 7.252 14.771
Al 2.024 8.006 2.884
Al 2.024 8.006 5.943
Al 5.486 3.167 2.212
Al 5.486 3.167 6.615
Al 5.486 3.167 11.040
Al 5.486 3.167 15.443
Al 8.174 0.000 0.534
Al 8.174 0.000 8.294
Al 4.087 7.079 9.362
Al 4.087 7.079 17.121
Al 6.906 2.347 0.000
Al 6.906 2.347 8.828
Al 5.486 4.807 0.000
Al 5.486 4.807 8.828
Al 7.510 1.496 2.884
Al 7.510 1.496 5.943
Al 5.051 5.756 11.712
Al 5.051 5.756 14.771
Al 9.220 0.000 10.850
Al 9.220 0.000 15.633
Al 4.610 7.985 2.023
Al 4.610 7.985 6.805
Al 7.945 2.250 11.712
Al 7.945 2.250 14.771
Al 5.921 5.756 2.884
Al 5.921 5.756 5.943
Al 7.133 3.843 4.414
Al 6.894 4.256 13.242
Al 9.355 0.000 4.414
Al 4.678 8.102 13.242
Mo 0.000 0.000 0.000
Mo 0.000 0.000 8.828
Mo -1.489 2.580 4.414
Mo -3.996 6.922 13.242
Mo 2.979 0.000 4.414
Mo 1.489 2.580 13.242
Mo 7.993 0.000 13.242
Mo 3.996 6.922 4.414
```

Values from the calculation:
* total DFT energy (no corrections): -4.67 eV/atom
* symmetry: P6_3/mcm, No. 193